# 1
Here is a relaxed structure of CdP2Rh from Alexandria via LeMat-Bulk. Energies are from GGA-PBE.

Cell lengths 7.5500, 7.5500, 7.5500 Å; angles 24.59, 24.59, 24.59 degrees
Sites, in units of the cell vectors:
Cd: 0.0000 0.0000 0.0000
P: 0.4965 0.4965 0.4965
P: 0.7693 0.7693 0.7693
Rh: 0.2339 0.2339 0.2339

E ... -4.813 eV per atom



# 2
Here is a relaxed structure of CdP2Rh from Alexandria via LeMat-Bulk. Energies are from GGA-PBE.

Cell lengths 4.5122, 4.5122, 4.5122 Å; angles 60.00, 60.00, 60.00 degrees
Sites, in units of the cell vectors:
Cd: 0.0000 0.0000 0.0000
P: 0.2500 0.2500 0.2500
P: 0.5000 0.5000 0.5000
Rh: 0.7500 0.7500 0.7500

E ... -4.297 eV per atom



# 3
Here is a relaxed structure of CdP2Rh from Alexandria via LeMat-Bulk. Energies are from GGA-PBE.

Cell lengths 3.0762, 3.7367, 5.8526 Å; angles 90.00, 90.00, 90.00 degrees
Sites, in units of the cell vectors:
Cd: 0.0000 0.0000 0.0000
P: 0.0000 0.0000 0.5344
P: 0.5000 0.5000 0.2392
Rh: 0.5000 0.5000 0.6374

E ... -4.674 eV per atom



# 4
Here is a relaxed structure of CdPRh from Alexandria via LeMat-Bulk. Energies are from GGA-PBE.

Cell lengths 2.9561, 2.9561, 5.9343 Å; angles 90.00, 90.00, 90.00 degrees
Sites, in units of the cell vectors:
Cd: 0.0000 0.0000 0.0000
P: 0.0000 0.0000 0.5584
Rh: 0.5000 0.5000 0.3554

E ... -4.896 eV per atom



# 5
Here is a relaxed structure of CdPRhS2 from Alexandria via LeMat-Bulk. Energies are from GGA-PBE.

Cell lengths 4.7927, 4.7927, 5.0872 Å; angles 90.00, 90.00, 90.00 degrees
Sites, in units of the cell vectors:
Cd: 0.0000 0.0000 0.0000
P: 0.5000 0.5000 0.5000
Rh: 0.0000 0.0000 0.5000
S: 0.0000 0.5000 0.0000
S: 0.5000 0.0000 0.0000

Formation energy without anion corrections ... 34.0 kcal/mol of atoms



# 6
Here is a relaxed structure of CdPRhS2 from Alexandria via LeMat-Bulk. Energies are from GGA-PBE.

Cell lengths 4.9093, 4.9093, 4.8753 Å; angles 90.00, 90.00, 90.00 degrees
Sites, in units of the cell vectors:
Cd: 0.0000 0.0000 0.0000
P: 0.0000 0.0000 0.5000
Rh: 0.5000 0.5000 0.5000
S: 0.0000 0.5000 0.0000
S: 0.5000 0.0000 0.0000

Formation energy without anion corrections ... 31.9 kcal/mol of atoms